VASP calculation (PBE-GGA) on an optimized crystal structure of TbFe2H8.

Properties
The calculation puts the total DFT energy (no corrections) at -4.56 eV per atom.

CIF file:
```
data_TbFe2H8
_symmetry_space_group_name_H-M 'P 1'
_symmetry_Int_Tables_number 1
_cell_length_a 4.245
_cell_length_b 4.436
_cell_length_c 4.436
_cell_angle_alpha 120.17
_cell_angle_beta 90.00
_cell_angle_gamma 90.00
loop_
_symmetry_equiv_pos_as_xyz
'x,y,z'
loop_
_atom_site_label
_atom_site_type_symbol
_atom_site_fract_x
_atom_site_fract_y
_atom_site_fract_z
Tb1 Tb 0.000 0.000 0.000
Fe1 Fe 0.500 0.291 0.633
Fe2 Fe 0.500 0.633 0.291
H1 H 0.241 0.524 0.971
H2 H 0.241 0.971 0.524
H3 H 0.253 0.494 0.494
H4 H 0.500 0.227 0.972
H5 H 0.500 0.972 0.227
H6 H 0.747 0.494 0.494
H7 H 0.759 0.524 0.971
H8 H 0.759 0.971 0.524
```